The following is a PBE-GGA calculation of a geometry-optimized LiPRh2 structure, from Alexandria via LeMat-Bulk.

## Properties
- ΔH_f (0 K) (kJ/mol of atoms) = -37.5
- space group = I-42d

Cell: 5.519 5.519 5.519 Å, 103.00 103.00 123.38°
Positions (direct):
Li  0.000  0.000  0.000
Li  0.750  0.250  0.500
P  0.250  0.750  0.500
P  0.500  0.500  0.000
Rh  0.201  0.625  0.076
Rh  0.375  0.451  0.576
Rh  0.549  0.125  0.924
Rh  0.875  0.799  0.424